Here is a PBEsol-optimized structure of HgPtCl2 from Alexandria via LeMat-Bulk. Energies are from meta-GGA SCAN.

## Properties
Relative energy among the computed polymorphs   0.00 eV per formula unit
Mass density   8.02 Mg/m³
M_tot   0.0 μB per cell
Space-group type   P2/m, No. 10
Formation energy without anion corrections   -1.10 eV/f.u.

The structure in POSCAR format:
```
HgPtCl2
1.0
3.388 0.000 0.000
0.000 3.368 0.066
0.000 -0.211 8.460
Hg Pt Cl
1 1 2
direct
0.500 0.000 0.500
0.500 0.500 0.000
0.000 0.501 0.816
0.000 0.499 0.184
```


Here is a PBEsol-optimized structure of Y3Tc from Alexandria via LeMat-Bulk. Energies are from meta-GGA SCAN.

## Properties
Mass density   6.38 Mg/m³
M_tot   0.6 μB per cell
Space-group type   P4/mmm, No. 123
Energy of formation from the pure elements   280 meV/atom

The structure in POSCAR format:
```
Y3Tc
1.0
-0.099 4.086 -1.786
-4.083 0.776 2.001
2.147 1.678 3.722
Tc Y
1 3
direct
0.000 0.000 0.000
0.500 0.000 0.500
0.500 0.500 0.000
0.000 0.500 0.500
```


Here is a PBEsol-optimized structure of CrTc2Rh from Alexandria via LeMat-Bulk. Energies are from meta-GGA SCAN.

## Properties
Relative energy among the computed polymorphs   0.02 eV per formula unit
Mass density   11.01 Mg/m³
M_tot   0.0 μB per cell
Space-group type   P4mm, No. 99
Energy of formation from the pure elements   46 meV/atom

The structure in POSCAR format:
```
CrTc2Rh
1.0
2.660 0.000 0.000
0.000 2.660 0.000
0.000 0.000 7.479
Cr Rh Tc
1 1 2
direct
0.000 0.000 0.502
0.500 0.500 0.738
0.000 0.000 0.002
0.500 0.500 0.258
```


Here is a PBEsol-optimized structure of NpSi2Ni from Alexandria via LeMat-Bulk. Energies are from meta-GGA SCAN.

## Properties
Mass density   9.38 Mg/m³
M_tot   7.1 μB per cell
Space-group type   Cmcm, No. 63
Formation energy without anion corrections   -1.64 eV/f.u.

The structure in POSCAR format:
```
NpSi2Ni
1.0
3.961 0.000 0.000
0.000 3.963 0.000
0.000 1.982 7.937
Np Ni Si
2 2 4
direct
0.250 0.397 0.206
0.750 0.603 0.794
0.250 0.180 0.640
0.750 0.820 0.360
0.250 0.040 0.920
0.750 0.960 0.080
0.250 0.750 0.501
0.750 0.250 0.499
```


Here is a PBEsol-optimized structure of BaSrAs2 from Alexandria via LeMat-Bulk. Energies are from meta-GGA SCAN.

## Properties
Relative energy among the computed polymorphs   0.00 eV per formula unit
Mass density   5.12 Mg/m³
M_tot   0.0 μB per cell
Space-group type   Cm, No. 8
Energy of formation from the pure elements   -1132 meV/atom

The structure in POSCAR format:
```
BaSrAs2
1.0
4.450 0.000 0.000
0.000 4.833 0.004
-2.225 -0.882 5.648
Sr As Ba
1 2 1
direct
0.751 0.116 0.502
0.039 0.183 0.077
0.216 0.557 0.433
0.494 0.644 0.988
```


Here is a PBEsol-optimized structure of In3CoC from Alexandria via LeMat-Bulk. Energies are from meta-GGA SCAN.

## Properties
Relative energy among the computed polymorphs   0.57 eV per formula unit
Mass density   6.16 Mg/m³
M_tot   2.4 μB per cell
Space-group type   Pm-3m, No. 221
Energy of formation from the pure elements   1226 meV/atom

The structure in POSCAR format:
```
In3CoC
1.0
-2.740 2.546 -3.040
-0.577 -3.912 -2.756
-3.923 -1.203 2.529
C Co In
1 1 3
direct
0.500 0.500 0.500
0.000 0.000 0.000
0.000 0.500 0.000
0.000 0.000 0.500
0.500 0.000 0.000
```


Here is a PBEsol-optimized structure of OsPtSe2 from Alexandria via LeMat-Bulk. Energies are from meta-GGA SCAN.

## Properties
Relative energy among the computed polymorphs   0.00 eV per formula unit
Mass density   12.12 Mg/m³
M_tot   0.0 μB per cell
Space-group type   R3m, No. 160
Formation energy without anion corrections   0.79 eV/f.u.

The structure in POSCAR format:
```
OsPtSe2
1.0
-1.813 2.720 -0.752
-0.513 0.840 -3.206
-7.118 -3.069 -1.419
Os Pt Se
1 1 2
direct
0.497 0.497 0.510
0.253 0.253 0.240
0.982 0.982 0.054
0.768 0.768 0.696
```


Here is a PBEsol-optimized structure of LiYGeO4 from Alexandria via LeMat-Bulk. Energies are from meta-GGA SCAN.

## Properties
Mass density   4.38 Mg/m³
M_tot   0.0 μB per cell
Space-group type   Pnma, No. 62
Formation energy without anion corrections   -19.17 eV/f.u.

The structure in POSCAR format:
```
LiYGeO4
1.0
-4.397 1.174 -2.178
-2.125 -5.809 1.159
-3.946 3.398 9.797
Li Y Ge O
4 4 4 16
direct
0.500 0.500 0.500
0.000 0.500 0.000
0.500 0.000 0.500
0.000 0.000 0.000
0.989 0.250 0.727
0.011 0.750 0.273
0.489 0.750 0.773
0.511 0.250 0.227
0.430 0.250 0.917
0.570 0.750 0.083
0.930 0.750 0.583
0.070 0.250 0.417
0.275 0.464 0.836
0.725 0.536 0.164
0.775 0.536 0.664
0.725 0.964 0.164
0.225 0.464 0.336
0.275 0.036 0.836
0.225 0.036 0.336
0.775 0.964 0.664
0.223 0.250 0.558
0.777 0.750 0.442
0.723 0.750 0.942
0.277 0.250 0.058
0.774 0.250 0.908
0.226 0.750 0.092
0.274 0.750 0.592
0.726 0.250 0.408
```